Entry 1:
Entry from the Alexandria database: Ti3FeCu after structural relaxation (PBE).

Properties
ΔE_f: 1061 meV per atom
Symmetry: Pm-3m, No. 221

The structure in extended XYZ format:
```
5
Lattice="4.500 0.000 0.000 0.000 4.500 0.000 0.000 0.000 4.500" Properties=species:S:1:pos:R:3 pbc="T T T"
Ti 0.000 0.000 2.250
Ti 0.000 2.250 0.000
Ti 2.250 0.000 0.000
Fe 2.250 2.250 2.250
Cu 0.000 0.000 0.000
```

---

Entry 2:
Entry from the Alexandria database: ScAl2CoHg after structural relaxation (PBE).

Properties
ΔE_f: 789 meV per atom
Symmetry: P4/mmm, No. 123

The structure in extended XYZ format:
```
5
Lattice="4.852 0.000 0.000 0.000 4.852 0.000 0.000 0.000 4.850" Properties=species:S:1:pos:R:3 pbc="T T T"
Sc 0.000 0.000 0.000
Al 0.000 2.426 2.425
Al 2.426 0.000 2.425
Co 2.426 2.426 0.000
Hg 2.426 2.426 2.425
```

---

Entry 3:
Entry from the Alexandria database: Tb5Pm7 after structural relaxation (PBE).

Properties
ΔE_f: 5 meV per atom
Symmetry: C2/m, No. 12

The structure in extended XYZ format:
```
12
Lattice="9.413 -1.815 0.000 9.413 1.815 0.000 -6.276 0.000 11.711" Properties=species:S:1:pos:R:3 pbc="T T T"
Tb 0.000 0.000 0.000
Tb 0.007 0.000 5.872
Tb 4.177 0.000 2.943
Tb 8.372 0.000 8.769
Tb 12.543 0.000 5.839
Pm -4.176 0.000 8.783
Pm 0.003 0.000 11.691
Pm 2.090 0.000 8.771
Pm 6.275 0.000 5.856
Pm 10.460 0.000 2.940
Pm 12.546 0.000 0.021
Pm 16.726 0.000 2.928
```

---

Entry 4:
Entry from the Alexandria database: Cs6HgAuO after structural relaxation (PBE).

Properties
Symmetry: P-31c, No. 163
Raw formation energy: -0.44 eV per atom

The structure in extended XYZ format:
```
18
Lattice="8.745 0.000 0.000 -4.373 7.574 0.000 0.000 0.000 16.765" Properties=species:S:1:pos:R:3 pbc="T T T"
Cs -1.255 2.992 2.453
Cs -2.409 4.990 5.930
Cs 1.255 2.992 5.930
Cs -1.154 7.165 2.453
Cs 3.219 0.409 10.835
Cs 1.964 2.583 14.313
Cs 2.409 4.990 2.453
Cs 1.154 7.165 5.930
Cs 5.526 0.409 14.313
Cs 3.117 4.581 10.835
Cs 6.782 2.583 10.835
Cs 5.628 4.581 14.313
Hg 0.000 0.000 0.000
Hg 0.000 0.000 8.383
Au 0.000 5.049 12.574
Au 4.373 2.525 4.191
O 0.000 5.049 4.191
O 4.373 2.525 12.574
```

---

Entry 5:
Entry from the Alexandria database: AcTb2CrN4 after structural relaxation (PBE).

Properties
Symmetry: Cmcm, No. 63
Raw formation energy: -1.22 eV per atom

The structure in extended XYZ format:
```
16
Lattice="1.745 -5.967 0.000 1.745 5.967 0.000 0.000 0.000 11.747" Properties=species:S:1:pos:R:3 pbc="T T T"
Ac 1.745 4.877 8.810
Ac 1.745 -4.877 2.937
Tb 1.745 1.565 6.387
Tb 1.745 1.565 11.234
Tb 1.745 -1.565 0.513
Tb 1.745 -1.565 5.360
Cr 1.745 3.918 2.937
Cr 1.745 -3.918 8.810
N 0.000 0.000 0.000
N 0.000 0.000 5.873
N 1.745 2.836 1.468
N 1.745 2.836 4.406
N 1.745 1.071 8.810
N 1.745 -1.071 2.937
N 1.745 -2.836 7.341
N 1.745 -2.836 10.279
```

---

Entry 6:
Entry from the Alexandria database: Ga2TcBr after structural relaxation (PBE).

Properties
Symmetry: I-42d, No. 122
Raw formation energy: 0.57 eV per atom

The structure in extended XYZ format:
```
8
Lattice="-3.091 3.091 5.903 3.091 -3.091 5.903 3.091 3.091 -5.903" Properties=species:S:1:pos:R:3 pbc="T T T"
Ga 4.637 1.167 -1.476
Ga 1.167 1.546 1.476
Ga -1.546 1.924 4.427
Ga 1.924 1.546 7.378
Tc 0.000 0.000 0.000
Tc 0.000 3.091 2.951
Br 3.091 0.000 2.951
Br 0.000 0.000 5.903
```

---

Number 1: magnetization 0.081 μB per formula unit. Number 2: magnetization 1.337 μB per formula unit. Number 3: magnetization 0.000 μB per formula unit. Number 4: magnetization 0.612 μB per formula unit. Number 5: magnetization 2.021 μB per formula unit. Number 6: magnetization 0.087 μB per formula unit.